w:
# PBE MgCdCo, relaxed
data_MgCdCo
_chemical_formula_sum 'Mg1 Cd1 Co1'
_cell_length_a 4.5177
_cell_length_b 4.5177
_cell_length_c 2.8083
_cell_angle_alpha 90.00
_cell_angle_beta 90.00
_cell_angle_gamma 120.00
_symmetry_space_group_name_H-M 'P 3 m 1'
_symmetry_Int_Tables_number 156
loop_
_symmetry_equiv_pos_as_xyz
'x,y,z'
'-y,x-y,z'
'-x+y,-x,z'
'-y,-x,z'
'-x+y,y,z'
'x,x-y,z'
loop_
_atom_site_label
_atom_site_type_symbol
_atom_site_fract_x
_atom_site_fract_y
_atom_site_fract_z
_atom_site_occupancy
Mg1 Mg 0.0000 0.0000 0.0000 1
Cd1 Cd 0.6667 0.3333 0.3827 1
Co1 Co 0.3333 0.6667 0.7085 1
# Density (g cm⁻³): 6.545
# Calculated volume (Å³/cell): 50

x:
# PBE MgCdCo, relaxed
data_MgCdCo
_chemical_formula_sum 'Mg4 Cd4 Co4'
_cell_length_a 6.144
_cell_length_b 6.144
_cell_length_c 6.144
_cell_angle_alpha 90.00
_cell_angle_beta 90.00
_cell_angle_gamma 90.00
_symmetry_space_group_name_H-M 'F -4 3 m'
_symmetry_Int_Tables_number 216
_symmetry_space_group_name_Hall 'F -4 2 3'
loop_
_atom_site_label
_atom_site_type_symbol
_atom_site_fract_x
_atom_site_fract_y
_atom_site_fract_z
_atom_site_occupancy
Mg1 Mg 0.000 0.000 0.000 1
Cd1 Cd 0.000 0.000 0.500 1
Co1 Co 0.250 0.250 0.250 1
# Density (g cm⁻³): 5.603
# Calculated volume (Å³/cell): 232

y:
# PBE MgCdCo, relaxed
data_MgCdCo
_chemical_formula_sum 'Mg4 Cd4 Co4'
_cell_length_a 11.288
_cell_length_b 3.935
_cell_length_c 5.048
_cell_angle_alpha 90.00
_cell_angle_beta 95.68
_cell_angle_gamma 90.00
_symmetry_space_group_name_H-M 'C 1 2/m 1'
_symmetry_Int_Tables_number 12
loop_
_symmetry_equiv_pos_as_xyz
'x,y,z'
'-x,-y,-z'
'-x,y,-z'
'x,-y,z'
'x+1/2,y+1/2,z'
'-x+1/2,-y+1/2,-z'
'-x+1/2,y+1/2,-z'
'x+1/2,-y+1/2,z'
loop_
_atom_site_label
_atom_site_type_symbol
_atom_site_fract_x
_atom_site_fract_y
_atom_site_fract_z
_atom_site_occupancy
Mg1 Mg 0.143 0.000 0.352 1
Cd1 Cd 0.071 0.500 0.764 1
Co1 Co 0.236 0.000 0.891 1
# Density (g cm⁻³): 5.825
# Calculated volume (Å³/cell): 223

Out of the structures above, which one is the most stable? Solution: y.